Computed, not measured: a relaxed structure of SrHgMo2 at the PBE-GGA level of DFT.

uncorrected energy: -0.18357 Ha/atom
ΔE_f: 0.92 eV per atom
volume: 83.8 Å³ per cell

Cell: 3.2212 4.9021 5.3045 Å, 90.00 90.00 90.00°
With the nearest neighbours (Å) after each atom.
Fractional positions:
Sr 0.0000 0.0000 0.0000  4 Hg 2.93, 4 Mo 3.10, 2 Sr 3.22
Hg 0.5000 0.5000 0.0000  4 Sr 2.93, 4 Mo 3.10, 2 Hg 3.22
Mo 0.0000 0.5000 0.5000  6 Mo 2.93-3.22, 4 Hg 3.10
Mo 0.5000 0.0000 0.5000  6 Mo 2.93-3.22, 4 Sr 3.10